The following is a PBE+U calculation of crystalline CoPbSeO at its relaxed geometry, from OQMD.

Output
Density: 7.23 g cm⁻³
Total magnetization: 6.00 μB/cell
Raw total energy: -38.22 eV/cell

Cell lengths 8.139, 8.139, 5.993 Å; angles 90.00, 90.00, 24.69 degrees
Sites, in units of the cell vectors:
1 Co 0.677 0.677 0.456
2 Co 0.323 0.323 0.956
3 O 0.882 0.882 0.025
4 O 0.118 0.118 0.525
5 Pb 0.931 0.931 0.373
6 Pb 0.069 0.069 0.873
7 Se 0.694 0.694 0.038
8 Se 0.306 0.306 0.538